Record 1
Sr2MoOs | PBE-GGA | optimized geometry

Summary:
The calculation puts the distance to the lowest polymorph of the same formula at 1.071 eV per atom. The total magnetic moment comes out at 0.000 μB/f.u.

Cell lengths 3.1460, 3.1460, 31.4560 Å; angles 90.00, 90.00, 120.00 degrees
Closest atoms and distances in Å follow each position.
Space group R-3m (No. 166, hexagonal axes)
Unique sites:
Sr: 0.0000 0.0000 0.2451 [6 per cell]  3 Os 3.06, 6 Sr 3.15, 3 Mo 3.32
Mo: 0.0000 0.0000 0.0000 [3 per cell]  6 Mo 3.15, 6 Sr 3.32
Os: 0.0000 0.0000 0.5000 [3 per cell]  6 Sr 3.06, 6 Os 3.15

=====

Record 2
Sr2MoOs | PBE-GGA | optimized geometry

Summary:
The calculation puts the distance to the lowest polymorph of the same formula at 0.912 eV per atom. The total magnetic moment comes out at 0.274 μB/f.u.

Cell lengths 3.0669, 5.1487, 5.6201 Å; angles 90.00, 90.95, 90.00 degrees
Closest atoms and distances in Å follow each position.
Space group P2/m (No. 10)
Unique sites:
Sr: 0.0089 0.0000 0.2537 [2 per cell]  4 Sr 2.77-3.07
Mo: 0.5000 0.5000 0.0000 [1 per cell]  2 Os 2.81, 2 Mo 3.07
Os: 0.5000 0.5000 0.5000 [1 per cell]  2 Mo 2.81, 2 Os 3.07

=====

Record 3
SrMo3Os | PBE-GGA | optimized geometry

Summary:
The calculation puts the distance to the lowest polymorph of the same formula at 0.000 eV per atom. The total magnetic moment comes out at 2.312 μB/f.u.

Cell lengths 4.8822, 4.8822, 4.8822 Å; angles 90.00, 90.00, 90.00 degrees
Closest atoms and distances in Å follow each position.
Space group Pm-3m (No. 221)
Unique sites:
Sr: 0.0000 0.0000 0.0000 [1 per cell]  12 Mo 3.45
Mo: 0.0000 0.5000 0.5000 [3 per cell]  2 Os 2.44
Os: 0.5000 0.5000 0.5000 [1 per cell]  6 Mo 2.44

=====

Record 4
Sr2MoOs | PBE-GGA | optimized geometry

Summary:
The calculation puts the distance to the lowest polymorph of the same formula at 0.265 eV per atom. The total magnetic moment comes out at 0.000 μB/f.u.

Cell lengths 3.8121, 5.4741, 10.6631 Å; angles 90.00, 90.00, 90.00 degrees
Closest atoms and distances in Å follow each position.
Space group Imm2 (No. 44)
Unique sites:
Sr: 0.0000 0.0000 0.0000 [2 per cell]  4 Os 3.41, 4 Mo 3.45-3.75, 6 Sr 3.55-3.81
Sr: 0.0000 0.5000 0.2123 [2 per cell]  4 Mo 3.47, 4 Os 3.51-3.63, 6 Sr 3.55-3.81
Mo: 0.0000 0.5000 0.8032 [2 per cell]  2 Os 2.37
Os: 0.0000 0.0000 0.4357 [2 per cell]  2 Mo 2.37

=====

Record 5
Sr2MoOs | PBE-GGA | optimized geometry

Summary:
The calculation puts the distance to the lowest polymorph of the same formula at 0.667 eV per atom. The total magnetic moment comes out at 2.218 μB/f.u.

Cell lengths 11.4553, 11.4553, 4.7255 Å; angles 90.00, 90.00, 90.00 degrees
Closest atoms and distances in Å follow each position.
Space group I-42d (No. 122)
Unique sites:
Sr: 0.0784 0.2500 0.1250 [8 per cell]  2 Os 3.06
Mo: 0.0000 0.0000 0.5000 [4 per cell]  2 Os 2.36
Os: 0.0000 0.0000 0.0000 [4 per cell]  2 Mo 2.36

=====

Record 6
Sr2MoOs | PBE-GGA | optimized geometry

Summary:
The calculation puts the distance to the lowest polymorph of the same formula at 0.870 eV per atom. The total magnetic moment comes out at 0.000 μB/f.u.

Cell lengths 4.0864, 4.0864, 5.2427 Å; angles 90.00, 90.00, 90.00 degrees
Closest atoms and distances in Å follow each position.
Space group P4/mmm (No. 123)
Unique sites:
Sr: 0.0000 0.5000 0.0000 [2 per cell]  4 Sr 2.89
Mo: 0.0000 0.0000 0.5000 [1 per cell]  4 Os 2.89
Os: 0.5000 0.5000 0.5000 [1 per cell]  4 Mo 2.89

=====

Record 7
Sr2MoOs | PBE-GGA | optimized geometry

Summary:
The calculation puts the distance to the lowest polymorph of the same formula at 0.914 eV per atom. The total magnetic moment comes out at 0.001 μB/f.u.

Cell lengths 2.9581, 2.9581, 10.2780 Å; angles 90.00, 90.00, 90.00 degrees
Closest atoms and distances in Å follow each position.
Space group P4/mmm (No. 123)
Unique sites:
Sr: 0.0000 0.0000 0.2348 [2 per cell]  4 Sr 2.96, 4 Os 3.19
Mo: 0.5000 0.5000 0.5000 [1 per cell]  4 Mo 2.96
Os: 0.5000 0.5000 0.0000 [1 per cell]  4 Os 2.96, 8 Sr 3.19

=====

Record 8
SrTlMoOs2 | PBE-GGA | optimized geometry

Summary:
The total magnetic moment comes out at 4.033 μB/f.u. Its total energy is -21.33 eV per cell.

Cell lengths 4.9685, 4.9685, 4.9968 Å; angles 90.00, 90.00, 90.00 degrees
Closest atoms and distances in Å follow each position.
Space group P4/mmm (No. 123)
Unique sites:
Sr: 0.0000 0.0000 0.0000 [1 per cell]  4 Os 2.48, 2 Mo 2.50
Tl: 0.5000 0.5000 0.5000 [1 per cell]  4 Mo 3.51, 8 Os 3.52
Mo: 0.0000 0.0000 0.5000 [1 per cell]  2 Sr 2.50
Os: 0.0000 0.5000 0.0000 [2 per cell]  2 Sr 2.48

=====

Record 9
Ta2MoOs | PBE-GGA | optimized geometry

Summary:
The total magnetic moment comes out at 0.000 μB/f.u. Its total energy is -92.66 eV per cell.

Cell lengths 3.1937, 4.6346, 8.9191 Å; angles 90.00, 90.00, 90.00 degrees
Closest atoms and distances in Å follow each position.
Space group Immm (No. 71)
Unique sites:
Ta: 0.0000 0.0000 0.2502 [4 per cell]  2 Mo 2.74, 2 Os 2.74, 4 Ta 2.81
Mo: 0.0000 0.5000 0.0000 [2 per cell]  4 Ta 2.74, 4 Os 2.81
Os: 0.0000 0.5000 0.5000 [2 per cell]  4 Ta 2.74, 4 Mo 2.81

=====

Record 10
TaMo2Os | PBE-GGA | optimized geometry

Summary:
The calculation puts the distance to the lowest polymorph of the same formula at 0.130 eV per atom. The total magnetic moment comes out at 0.000 μB/f.u.

Cell lengths 6.3443, 6.3443, 6.3443 Å; angles 90.00, 90.00, 90.00 degrees
Closest atoms and distances in Å follow each position.
Space group Fm-3m (No. 225)
Unique sites:
Ta: 0.0000 0.0000 0.0000 [4 per cell]  8 Mo 2.75
Mo: 0.2500 0.2500 0.2500 [8 per cell]  4 Ta 2.75, 4 Os 2.75
Os: 0.0000 0.0000 0.5000 [4 per cell]  8 Mo 2.75

=====

Record 11
Ta2MoOs | PBE-GGA | optimized geometry

Summary:
The total magnetic moment comes out at 0.000 μB/f.u. Its total energy is -46.38 eV per cell.

Cell lengths 2.8392, 4.5304, 5.2387 Å; angles 90.00, 101.24, 90.00 degrees
Closest atoms and distances in Å follow each position.
Space group Pm (No. 6)
Unique sites:
Ta: 0.0000 0.0000 0.0000 [1 per cell]  2 Mo 2.72, 2 Os 2.72-2.73, 4 Ta 2.84
Ta: 0.2689 0.5000 0.7345 [1 per cell]  2 Mo 2.72-2.73, 2 Os 2.73, 4 Ta 2.84
Mo: 0.7717 0.5000 0.2359 [1 per cell]  4 Ta 2.72-2.73, 2 Os 2.82, 2 Mo 2.84
Os: 0.5088 0.0000 0.4983 [1 per cell]  4 Ta 2.72-2.73, 2 Mo 2.82, 2 Os 2.84

=====

Record 12
Ta14MoOs | PBE-GGA | optimized geometry

Summary:
The total magnetic moment comes out at 0.000 μB/f.u. Its total energy is -189.53 eV per cell.

Cell lengths 6.5523, 6.5523, 6.6062 Å; angles 90.00, 90.00, 90.00 degrees
Closest atoms and distances in Å follow each position.
Space group P4/mmm (No. 123)
Unique sites:
Ta: 0.0000 0.0000 0.0000 [1 per cell]  8 Ta 2.86
Ta: 0.0000 0.5000 0.0000 [2 per cell]  8 Ta 2.87
Ta: 0.0000 0.5000 0.5000 [2 per cell]  8 Ta 2.82
Ta: 0.2492 0.2492 0.2560 [8 per cell]  1 Os 2.82, 6 Ta 2.82-2.87, 1 Mo 2.83
Ta: 0.5000 0.5000 0.0000 [1 per cell]  8 Ta 2.87
Mo: 0.5000 0.5000 0.5000 [1 per cell]  8 Ta 2.83
Os: 0.0000 0.0000 0.5000 [1 per cell]  8 Ta 2.82

=====

Question: Number 9 is which compound?
Answer: Ta2MoOs

=====

Copy entry 7 word for word.
Sr2MoOs | PBE-GGA | optimized geometry

Summary:
The calculation puts the distance to the lowest polymorph of the same formula at 0.914 eV per atom. The total magnetic moment comes out at 0.001 μB/f.u.

Cell lengths 2.9581, 2.9581, 10.2780 Å; angles 90.00, 90.00, 90.00 degrees
Closest atoms and distances in Å follow each position.
Space group P4/mmm (No. 123)
Unique sites:
Sr: 0.0000 0.0000 0.2348 [2 per cell]  4 Sr 2.96, 4 Os 3.19
Mo: 0.5000 0.5000 0.5000 [1 per cell]  4 Mo 2.96
Os: 0.5000 0.5000 0.0000 [1 per cell]  4 Os 2.96, 8 Sr 3.19

=====

Question: Which formula does entry 4 have?
Answer: Sr2MoOs

=====

What did the eighth record say?
SrTlMoOs2 | PBE-GGA | optimized geometry

Summary:
The total magnetic moment comes out at 4.033 μB/f.u. Its total energy is -21.33 eV per cell.

Cell lengths 4.9685, 4.9685, 4.9968 Å; angles 90.00, 90.00, 90.00 degrees
Closest atoms and distances in Å follow each position.
Space group P4/mmm (No. 123)
Unique sites:
Sr: 0.0000 0.0000 0.0000 [1 per cell]  4 Os 2.48, 2 Mo 2.50
Tl: 0.5000 0.5000 0.5000 [1 per cell]  4 Mo 3.51, 8 Os 3.52
Mo: 0.0000 0.0000 0.5000 [1 per cell]  2 Sr 2.50
Os: 0.0000 0.5000 0.0000 [2 per cell]  2 Sr 2.48